The following is a PBE calculation of a relaxed structure of Tm4TeRu, from the Alexandria database.

Density of states at the Fermi level in states/eV/f.u.: 4.11
E in eV/atom: -5.440
Theoretical density in g cm⁻³: 7.4
Relative energy among the computed polymorphs in meV/atom: 278
Magnetic moment in μB/cell: 0.00
Formation energy (no corrections) in kJ/mol of formula units: -226

Cell: 5.2214 10.8189 9.3269 Å, 126.49 90.00 103.96°
Sites, in units of the cell vectors:
Ru (0.0942, 0.1884, 0.6389)
Tm (0.3992, 0.7985, 0.3324)
Te (0.8441, 0.6882, 0.7423)
Tm (0.7996, 0.5991, 0.0022)
Tm (0.7650, 0.5300, 0.3296)
Tm (0.9849, 0.9697, 0.7118)
Ru (0.9058, 0.8116, 0.3611)
Tm (0.2350, 0.4700, 0.6704)
Tm (0.2004, 0.4009, 0.9978)
Tm (0.6008, 0.2015, 0.6676)
Te (0.1559, 0.3118, 0.2577)
Tm (0.0151, 0.0303, 0.2882)